Entry 1:
Below is crystalline CaHoEr4Se8 at its relaxed geometry, with properties calculated at the PBE-GGA level. Values from VASP.

total moment	0.0	μB/f.u.
density	6.0	g/cm3
total energy	-5.55	eV/atom
formation energy without anion corrections	-1.786	eV/atom

```
&SYSTEM
  ibrav = 0, nat = 14, ntyp = 4
/
ATOMIC_SPECIES
Ca 40.08 Ca.upf
Ho 164.93 Ho.upf
Er 167.26 Er.upf
Se 78.96 Se.upf
ATOMIC_POSITIONS crystal
Ca 0.000 0.000 0.000
Ho 0.628 0.628 0.628
Er 0.119 0.627 0.627
Er 0.250 0.250 0.250
Er 0.627 0.119 0.627
Er 0.627 0.627 0.119
Se 0.383 0.383 0.383
Se 0.383 0.383 0.852
Se 0.383 0.852 0.383
Se 0.406 0.866 0.866
Se 0.852 0.383 0.383
Se 0.865 0.865 0.865
Se 0.866 0.406 0.866
Se 0.866 0.866 0.406
CELL_PARAMETERS angstrom
4.198 2.423 6.864
-4.198 2.423 6.864
0.000 -4.847 6.864
```



Entry 2:
Below is crystalline ZrSnIrAu2 at its relaxed geometry, with properties calculated at the PBE-GGA level. Values from VASP.

total moment	1.1	μB/f.u.
density	10.6	g/cm3
total energy	-4.94	eV/atom

```
&SYSTEM
  ibrav = 0, nat = 5, ntyp = 4
/
ATOMIC_SPECIES
Zr 91.22 Zr.upf
Sn 118.71 Sn.upf
Ir 192.22 Ir.upf
Au 196.97 Au.upf
ATOMIC_POSITIONS crystal
Zr 0.000 0.000 0.000
Sn 0.500 0.500 0.000
Ir 0.500 0.500 0.500
Au 0.000 0.500 0.500
Au 0.500 0.000 0.500
CELL_PARAMETERS angstrom
5.064 0.000 0.000
0.000 5.064 0.000
0.000 0.000 4.877
```



Entry 3:
Below is crystalline La6Ir2CI3 at its relaxed geometry, with properties calculated at the PBE-GGA level. Values from VASP.

total moment	0.0	μB/f.u.
density	7.2	g/cm3
total energy	-6.03	eV/atom
formation energy without anion corrections	-0.932	eV/atom

```
&SYSTEM
  ibrav = 0, nat = 12, ntyp = 4
/
ATOMIC_SPECIES
La 138.91 La.upf
Ir 192.22 Ir.upf
C 12.01 C.upf
I 126.90 I.upf
ATOMIC_POSITIONS crystal
La 0.059 0.374 0.179
La 0.256 0.256 0.820
La 0.374 0.059 0.179
La 0.626 0.941 0.821
La 0.744 0.744 0.180
La 0.941 0.626 0.821
Ir 0.333 0.667 0.000
Ir 0.667 0.333 0.000
C 0.000 0.000 0.000
I 0.169 0.831 0.500
I 0.500 0.500 0.500
I 0.831 0.169 0.500
CELL_PARAMETERS angstrom
3.632 -6.280 0.000
3.632 6.280 0.000
-2.413 0.000 8.143
```



Entry 4:
Below is crystalline TbPmPuPb at its relaxed geometry, with properties calculated at the PBE-GGA level. Values from VASP.

total moment	7.2	μB/f.u.
density	10.5	g/cm3
total energy	-6.86	eV/atom

```
&SYSTEM
  ibrav = 0, nat = 4, ntyp = 4
/
ATOMIC_SPECIES
Tb 158.93 Tb.upf
Pm 145.00 Pm.upf
Pu 244.00 Pu.upf
Pb 207.20 Pb.upf
ATOMIC_POSITIONS crystal
Tb 0.000 0.000 0.000
Pm 0.750 0.750 0.750
Pu 0.250 0.250 0.250
Pb 0.500 0.500 0.500
CELL_PARAMETERS angstrom
0.000 3.905 3.905
3.905 0.000 3.905
3.905 3.905 0.000
```



Entry 5:
Below is crystalline Li4Ca5Si4 at its relaxed geometry, with properties calculated at the PBE-GGA level. Values from VASP.

total moment	0.0	μB/f.u.
density	1.9	g/cm3
total energy	-3.35	eV/atom
formation energy without anion corrections	-0.318	eV/atom

```
&SYSTEM
  ibrav = 0, nat = 13, ntyp = 3
/
ATOMIC_SPECIES
Li 6.94 Li.upf
Ca 40.08 Ca.upf
Si 28.09 Si.upf
ATOMIC_POSITIONS crystal
Li 0.082 0.602 0.684
Li 0.398 0.082 0.479
Li 0.602 0.918 0.521
Li 0.918 0.398 0.316
Ca 0.131 0.212 0.343
Ca 0.212 0.869 0.082
Ca 0.500 0.500 0.000
Ca 0.788 0.131 0.918
Ca 0.869 0.788 0.657
Si 0.248 0.441 0.689
Si 0.441 0.752 0.194
Si 0.559 0.248 0.806
Si 0.752 0.559 0.311
CELL_PARAMETERS angstrom
-6.114 6.114 1.997
6.114 -6.114 1.997
6.114 6.114 -1.997
```



Entry 6:
Below is crystalline Li2ZrHg at its relaxed geometry, with properties calculated at the PBE-GGA level. Values from VASP.

total moment	0.0	μB/f.u.
density	6.3	g/cm3
total energy	-3.16	eV/atom

```
&SYSTEM
  ibrav = 0, nat = 4, ntyp = 3
/
ATOMIC_SPECIES
Li 6.94 Li.upf
Zr 91.22 Zr.upf
Hg 200.59 Hg.upf
ATOMIC_POSITIONS crystal
Li 0.000 0.000 0.000
Li 0.500 0.000 0.500
Zr 0.000 0.500 0.500
Hg 0.500 0.500 0.000
CELL_PARAMETERS angstrom
3.123 0.000 0.000
0.000 5.029 0.000
0.000 0.000 5.116
```



Entry 7:
Below is crystalline BaPuPt2 at its relaxed geometry, with properties calculated at the PBE-GGA level. Values from VASP.

distance to the lowest polymorph of the same formula	0	meV/atom
total moment	5.5	μB/f.u.
density	12.7	g/cm3
total energy	-7.78	eV/atom

```
&SYSTEM
  ibrav = 0, nat = 4, ntyp = 3
/
ATOMIC_SPECIES
Ba 137.33 Ba.upf
Pu 244.00 Pu.upf
Pt 195.08 Pt.upf
ATOMIC_POSITIONS crystal
Ba 0.000 0.000 0.000
Pu 0.000 0.000 0.500
Pt 0.500 0.500 0.300
Pt 0.500 0.500 0.700
CELL_PARAMETERS angstrom
3.656 0.000 0.000
0.000 3.656 0.000
0.000 0.000 7.565
```



Entry 8:
Below is crystalline Nd3Ag at its relaxed geometry, with properties calculated at the PBE-GGA level. Values from VASP.

distance to the lowest polymorph of the same formula	23	meV/atom
total moment	0.0	μB/f.u.
density	7.2	g/cm3
total energy	-4.35	eV/atom

```
&SYSTEM
  ibrav = 0, nat = 16, ntyp = 2
/
ATOMIC_SPECIES
Nd 144.24 Nd.upf
Ag 107.87 Ag.upf
ATOMIC_POSITIONS crystal
Nd 0.072 0.025 0.590
Nd 0.116 0.448 0.606
Nd 0.148 0.335 0.961
Nd 0.375 0.187 0.039
Nd 0.434 0.481 0.410
Nd 0.490 0.884 0.332
Nd 0.519 0.928 0.953
Nd 0.552 0.158 0.668
Nd 0.665 0.625 0.812
Nd 0.813 0.852 0.188
Nd 0.842 0.510 0.394
Nd 0.975 0.566 0.047
Ag 0.060 0.724 0.747
Ag 0.276 0.023 0.336
Ag 0.687 0.940 0.664
Ag 0.977 0.313 0.253
CELL_PARAMETERS angstrom
-6.288 6.288 3.145
6.288 -6.288 3.145
6.288 6.288 -3.145
```



Entry 9:
Below is crystalline SrS8Br2 at its relaxed geometry, with properties calculated at the PBE-GGA level. Values from VASP.

total moment	0.0	μB/f.u.
density	2.3	g/cm3
total energy	-3.92	eV/atom
formation energy without anion corrections	-0.456	eV/atom

```
&SYSTEM
  ibrav = 0, nat = 11, ntyp = 3
/
ATOMIC_SPECIES
Sr 87.62 Sr.upf
S 32.06 S.upf
Br 79.90 Br.upf
ATOMIC_POSITIONS crystal
Sr 0.000 0.000 0.000
S 0.140 0.296 0.880
S 0.159 0.787 0.302
S 0.197 0.299 0.542
S 0.443 0.596 0.306
S 0.557 0.404 0.694
S 0.803 0.701 0.458
S 0.841 0.213 0.698
S 0.860 0.704 0.120
Br 0.380 0.822 0.802
Br 0.620 0.178 0.198
CELL_PARAMETERS angstrom
4.438 0.000 0.000
-1.553 8.738 0.000
-1.349 -3.054 9.235
```



Entry 10:
Below is crystalline V2NiAu at its relaxed geometry, with properties calculated at the PBE-GGA level. Values from VASP.

distance to the lowest polymorph of the same formula	0	meV/atom
total moment	0.0	μB/f.u.
density	10.9	g/cm3
total energy	-6.88	eV/atom

```
&SYSTEM
  ibrav = 0, nat = 4, ntyp = 3
/
ATOMIC_SPECIES
V 50.94 V.upf
Ni 58.69 Ni.upf
Au 196.97 Au.upf
ATOMIC_POSITIONS crystal
V 0.000 0.500 0.000
V 0.500 0.000 0.000
Ni 0.000 0.000 0.500
Au 0.500 0.500 0.500
CELL_PARAMETERS angstrom
3.686 0.000 0.000
0.000 3.686 0.000
0.000 0.000 4.026
```



Entry 11:
Below is crystalline Li2MgH6Rh at its relaxed geometry, with properties calculated at the PBE-GGA level. Values from VASP.

total moment	0.0	μB/f.u.
density	2.5	g/cm3
total energy	-3.59	eV/atom

```
&SYSTEM
  ibrav = 0, nat = 10, ntyp = 4
/
ATOMIC_SPECIES
Li 6.94 Li.upf
Mg 24.30 Mg.upf
H 1.01 H.upf
Rh 102.91 Rh.upf
ATOMIC_POSITIONS crystal
Li 0.333 0.667 0.093
Li 0.667 0.333 0.907
Mg 0.000 0.000 0.500
H 0.167 0.334 0.800
H 0.167 0.833 0.800
H 0.334 0.167 0.200
H 0.666 0.833 0.800
H 0.833 0.167 0.200
H 0.833 0.666 0.200
Rh 0.000 0.000 0.000
CELL_PARAMETERS angstrom
4.759 0.000 0.000
-2.379 4.121 0.000
0.000 0.000 5.077
```



Entry 12:
Below is crystalline Pa3GeRu at its relaxed geometry, with properties calculated at the PBE-GGA level. Values from VASP.

total moment	0.0	μB/f.u.
density	13.3	g/cm3
total energy	-8.79	eV/atom

```
&SYSTEM
  ibrav = 0, nat = 10, ntyp = 3
/
ATOMIC_SPECIES
Pa 231.04 Pa.upf
Ge 72.64 Ge.upf
Ru 101.07 Ru.upf
ATOMIC_POSITIONS crystal
Pa 0.000 0.000 0.000
Pa 0.032 0.478 0.887
Pa 0.127 0.016 0.580
Pa 0.403 0.321 0.152
Pa 0.577 0.743 0.794
Pa 0.897 0.585 0.403
Ge 0.451 0.829 0.220
Ge 0.587 0.239 0.740
Ru 0.367 0.508 0.497
Ru 0.740 0.135 0.363
CELL_PARAMETERS angstrom
5.151 0.000 0.000
0.027 6.104 0.000
1.357 0.766 6.893
```



What did the eighth record say?
Below is crystalline Nd3Ag at its relaxed geometry, with properties calculated at the PBE-GGA level. Values from VASP.

distance to the lowest polymorph of the same formula	23	meV/atom
total moment	0.0	μB/f.u.
density	7.2	g/cm3
total energy	-4.35	eV/atom

```
&SYSTEM
  ibrav = 0, nat = 16, ntyp = 2
/
ATOMIC_SPECIES
Nd 144.24 Nd.upf
Ag 107.87 Ag.upf
ATOMIC_POSITIONS crystal
Nd 0.072 0.025 0.590
Nd 0.116 0.448 0.606
Nd 0.148 0.335 0.961
Nd 0.375 0.187 0.039
Nd 0.434 0.481 0.410
Nd 0.490 0.884 0.332
Nd 0.519 0.928 0.953
Nd 0.552 0.158 0.668
Nd 0.665 0.625 0.812
Nd 0.813 0.852 0.188
Nd 0.842 0.510 0.394
Nd 0.975 0.566 0.047
Ag 0.060 0.724 0.747
Ag 0.276 0.023 0.336
Ag 0.687 0.940 0.664
Ag 0.977 0.313 0.253
CELL_PARAMETERS angstrom
-6.288 6.288 3.145
6.288 -6.288 3.145
6.288 6.288 -3.145
```